{
  "formula": "CoNiP4O12",
  "functional": "PBE with a Hubbard U",
  "state": "optimized geometry",
  "lattice_angstrom": [[7.269, 0.006, 0.004], [2.455, 6.842, 0.004], [3.910, 2.753, 8.801]],
  "species": ["Co", "Co", "Ni", "Ni", "P", "P", "P", "P", "P", "P", "P", "P", "O", "O", "O", "O", "O", "O", "O", "O", "O", "O", "O", "O", "O", "O", "O", "O", "O", "O", "O", "O", "O", "O", "O", "O"],
  "fractional_positions": [[0.946, 0.054, 0.250], [0.054, 0.946, 0.750], [0.500, 0.000, 0.500], [0.000, 0.500, 0.000], [0.313, 0.295, 0.196], [0.705, 0.687, 0.304], [0.687, 0.705, 0.804], [0.295, 0.313, 0.696], [0.730, 0.255, 0.976], [0.745, 0.270, 0.524], [0.270, 0.745, 0.024], [0.255, 0.730, 0.476], [0.315, 0.532, 0.153], [0.468, 0.685, 0.347], [0.685, 0.468, 0.847], [0.532, 0.315, 0.653], [0.503, 0.214, 0.065], [0.786, 0.497, 0.435], [0.497, 0.786, 0.935], [0.214, 0.503, 0.565], [0.344, 0.190, 0.348], [0.810, 0.656, 0.152], [0.656, 0.810, 0.652], [0.190, 0.344, 0.848], [0.122, 0.285, 0.174], [0.715, 0.878, 0.326], [0.878, 0.715, 0.826], [0.285, 0.122, 0.674], [0.809, 0.293, 0.081], [0.707, 0.191, 0.419], [0.191, 0.707, 0.919], [0.293, 0.809, 0.581], [0.848, 0.090, 0.904], [0.910, 0.152, 0.596], [0.152, 0.910, 0.096], [0.090, 0.848, 0.404]],
  "vol_a3_per_cell": 437.5,
  "total_energy_ry_per_atom": -0.5064,
  "space_group": "C2/c",
  "m_tot_mub_per_cell": 10.00
}